Density functional theory data (PBE) for Na2Hg8Pb after structural relaxation.

abc: 6.055 6.447 8.979
angles: 112.75 111.50 85.30
Sites, in units of the cell vectors:
Na (0.687, 0.687, 0.373)
Na (0.313, 0.313, 0.627)
Hg (0.217, 0.328, 0.242)
Hg (0.975, 0.087, 0.758)
Hg (0.744, 0.418, 0.000)
Hg (0.723, 0.223, 0.447)
Hg (0.277, 0.777, 0.553)
Hg (0.256, 0.582, 0.000)
Hg (0.025, 0.913, 0.242)
Hg (0.783, 0.672, 0.758)
Pb (0.500, 0.000, 0.000)

crystal system	monoclinic
energy relative to the elements	-0.103	eV per atom
E above lowest polymorph	0.006	eV/atom